Record 1
DFT (PBE) results for crystalline PmTmAgRh at its relaxed geometry.

Unit cell a=5.022 b=5.022 c=5.022 alpha=60.00 beta=60.00 gamma=60.00
Fractional coordinates of all 4 atoms:
Pm1 0.000 0.000 0.000
Tm1 0.500 0.500 0.500
Ag1 0.750 0.750 0.750
Rh1 0.250 0.250 0.250

## Properties
Space group   F-43m (216)
Crystal system   cubic
Energy of formation from the pure elements   -2.1 eV per formula unit

Record 2
DFT (PBE) results for crystalline PmZrAgRh at its relaxed geometry.

Unit cell a=4.937 b=4.937 c=4.937 alpha=60.00 beta=60.00 gamma=60.00
Fractional coordinates of all 4 atoms:
Pm1 0.000 0.000 0.000
Zr1 0.500 0.500 0.500
Ag1 0.750 0.750 0.750
Rh1 0.250 0.250 0.250

## Properties
Space group   F-43m (216)
Crystal system   cubic
Energy of formation from the pure elements   -1.3 eV per formula unit

Record 3
DFT (PBE) results for crystalline Pm4AgRu2 at its relaxed geometry.

Unit cell a=8.562 b=8.562 c=8.562 alpha=34.07 beta=34.07 gamma=34.07
Fractional coordinates of all 7 atoms:
Pm1 0.120 0.120 0.120
Pm2 0.371 0.371 0.371
Pm3 0.629 0.629 0.629
Pm4 0.880 0.880 0.880
Ag1 0.500 0.500 0.500
Ru1 0.249 0.249 0.249
Ru2 0.751 0.751 0.751

## Properties
Space group   R-3m (166)
Crystal system   trigonal
Energy relative to the lowest polymorph listed for this composition   0 meV/atom
Energy of formation from the pure elements   -1.5 eV per formula unit

Record 4
DFT (PBE) results for crystalline Pm6AgRu3 at its relaxed geometry.

Unit cell a=9.213 b=9.213 c=6.777 alpha=90.00 beta=90.00 gamma=109.41
Fractional coordinates of all 20 atoms:
Pm1 0.033 0.967 0.500
Pm2 0.117 0.519 0.935
Pm3 0.252 0.748 0.366
Pm4 0.279 0.354 0.392
Pm5 0.354 0.279 0.892
Pm6 0.481 0.883 0.935
Pm7 0.519 0.117 0.435
Pm8 0.646 0.721 0.392
Pm9 0.721 0.646 0.892
Pm10 0.748 0.252 0.866
Pm11 0.883 0.481 0.435
Pm12 0.967 0.033 0.000
Ag1 0.156 0.844 0.836
Ag2 0.844 0.156 0.336
Ru1 0.033 0.265 0.682
Ru2 0.265 0.033 0.182
Ru3 0.410 0.590 0.114
Ru4 0.590 0.410 0.614
Ru5 0.735 0.967 0.682
Ru6 0.967 0.735 0.182

## Properties
Space group   Cmc2_1 (36)
Crystal system   orthorhombic
Energy of formation from the pure elements   -1.4 eV per formula unit

Record 5
DFT (PBE) results for crystalline PmAgRu at its relaxed geometry.

Unit cell a=5.486 b=5.486 c=5.486 alpha=142.06 beta=142.06 gamma=54.73
Fractional coordinates of all 3 atoms:
Pm1 0.000 0.000 0.000
Ag1 0.693 0.693 0.000
Ru1 0.340 0.340 0.000

## Properties
Space group   I4mm (107)
Crystal system   tetragonal
Energy relative to the lowest polymorph listed for this composition   0 meV/atom
Energy of formation from the pure elements   0.3 eV per formula unit

Record 6
DFT (PBE) results for crystalline Pm6AgRu at its relaxed geometry.

Unit cell a=6.700 b=6.700 c=6.825 alpha=100.20 beta=100.20 gamma=115.08
Fractional coordinates of all 8 atoms:
Pm1 0.030 0.396 0.242
Pm2 0.245 0.245 0.769
Pm3 0.396 0.030 0.242
Pm4 0.604 0.970 0.758
Pm5 0.755 0.755 0.231
Pm6 0.970 0.604 0.758
Ag1 0.500 0.500 0.500
Ru1 0.000 0.000 0.000

## Properties
Space group   C2/m (12)
Crystal system   monoclinic
Energy of formation from the pure elements   -0.1 eV per formula unit

Record 7
DFT (PBE) results for crystalline Pm5AgRu4 at its relaxed geometry.

Unit cell a=3.493 b=3.493 c=18.199 alpha=90.00 beta=90.00 gamma=90.00
Fractional coordinates of all 10 atoms:
Pm1 0.000 0.000 0.000
Pm2 0.000 0.000 0.191
Pm3 0.000 0.000 0.382
Pm4 0.000 0.000 0.618
Pm5 0.000 0.000 0.809
Ag1 0.500 0.500 0.500
Ru1 0.500 0.500 0.096
Ru2 0.500 0.500 0.292
Ru3 0.500 0.500 0.708
Ru4 0.500 0.500 0.904

## Properties
Space group   P4/mmm (123)
Crystal system   tetragonal
Energy of formation from the pure elements   -2.0 eV per formula unit

Record 8
DFT (PBE) results for crystalline Pm6Ag5Ru at its relaxed geometry.

Unit cell a=8.237 b=8.237 c=7.402 alpha=90.00 beta=90.00 gamma=143.10
Fractional coordinates of all 12 atoms:
Pm1 0.000 0.000 0.233
Pm2 0.000 0.000 0.767
Pm3 0.343 0.657 0.242
Pm4 0.343 0.657 0.758
Pm5 0.657 0.343 0.242
Pm6 0.657 0.343 0.758
Ag1 0.167 0.833 0.500
Ag2 0.177 0.823 0.000
Ag3 0.500 0.500 0.500
Ag4 0.823 0.177 0.000
Ag5 0.833 0.167 0.500
Ru1 0.500 0.500 0.000

## Properties
Space group   Cmmm (65)
Crystal system   orthorhombic
Energy of formation from the pure elements   -3.2 eV per formula unit

Record 9
DFT (PBE) results for crystalline Pm6AgRu2 at its relaxed geometry.

Unit cell a=8.641 b=8.641 c=8.641 alpha=112.33 beta=111.33 gamma=104.86
Fractional coordinates of all 18 atoms:
Pm1 0.041 0.238 0.803
Pm2 0.181 0.283 0.464
Pm3 0.181 0.717 0.898
Pm4 0.328 0.013 0.685
Pm5 0.328 0.643 0.315
Pm6 0.435 0.238 0.197
Pm7 0.565 0.762 0.803
Pm8 0.672 0.357 0.685
Pm9 0.672 0.987 0.315
Pm10 0.819 0.283 0.102
Pm11 0.819 0.717 0.536
Pm12 0.959 0.762 0.197
Ag1 0.000 0.000 0.000
Ag2 0.500 0.500 0.000
Ru1 0.125 0.625 0.500
Ru2 0.322 0.000 0.322
Ru3 0.678 0.000 0.678
Ru4 0.875 0.375 0.500

## Properties
Space group   Immm (71)
Crystal system   orthorhombic
Energy relative to the lowest polymorph listed for this composition   0 meV/atom
Energy of formation from the pure elements   -2.0 eV per formula unit

Record 10
DFT (PBE) results for crystalline Pm6AgRu2 at its relaxed geometry.

Unit cell a=5.712 b=5.712 c=9.097 alpha=98.45 beta=98.45 gamma=54.96
Fractional coordinates of all 9 atoms:
Pm1 0.043 0.043 0.339
Pm2 0.286 0.286 0.663
Pm3 0.346 0.346 0.108
Pm4 0.654 0.654 0.892
Pm5 0.714 0.714 0.337
Pm6 0.957 0.957 0.661
Ag1 0.000 0.000 0.000
Ru1 0.390 0.390 0.398
Ru2 0.610 0.610 0.602

## Properties
Space group   C2/m (12)
Crystal system   monoclinic
Energy relative to the lowest polymorph listed for this composition   56 meV/atom
Energy of formation from the pure elements   -1.5 eV per formula unit

Record 11
DFT (PBE) results for crystalline PmAgRu at its relaxed geometry.

Unit cell a=13.224 b=13.224 c=13.224 alpha=166.15 beta=166.15 gamma=19.64
Fractional coordinates of all 6 atoms:
Pm1 0.143 0.143 0.000
Pm2 0.857 0.857 0.000
Ag1 0.446 0.446 0.000
Ag2 0.554 0.554 0.000
Ru1 0.275 0.275 0.000
Ru2 0.725 0.725 0.000

## Properties
Space group   I4/mmm (139)
Crystal system   tetragonal
Energy relative to the lowest polymorph listed for this composition   4 meV/atom
Energy of formation from the pure elements   0.3 eV per formula unit

Record 12
DFT (PBE) results for crystalline Pm4AgRu2 at its relaxed geometry.

Unit cell a=8.116 b=8.116 c=6.886 alpha=107.01 beta=107.01 gamma=113.31
Fractional coordinates of all 14 atoms:
Pm1 0.031 0.969 0.500
Pm2 0.149 0.535 0.364
Pm3 0.374 0.991 0.238
Pm4 0.502 0.667 0.931
Pm5 0.535 0.149 0.864
Pm6 0.667 0.502 0.431
Pm7 0.969 0.031 0.000
Pm8 0.991 0.374 0.738
Ag1 0.620 0.870 0.510
Ag2 0.870 0.620 0.010
Ru1 0.145 0.780 0.762
Ru2 0.296 0.316 0.998
Ru3 0.316 0.296 0.498
Ru4 0.780 0.145 0.262

## Properties
Space group   Cc (9)
Crystal system   monoclinic
Energy relative to the lowest polymorph listed for this composition   28 meV/atom
Energy of formation from the pure elements   -1.3 eV per formula unit

Record 13
DFT (PBE) results for crystalline Pm12Ag6Ru at its relaxed geometry.

Unit cell a=8.271 b=8.271 c=8.271 alpha=93.21 beta=93.21 gamma=93.21
Fractional coordinates of all 19 atoms:
Pm1 0.042 0.935 0.696
Pm2 0.065 0.304 0.958
Pm3 0.181 0.408 0.531
Pm4 0.304 0.958 0.065
Pm5 0.408 0.531 0.181
Pm6 0.469 0.819 0.592
Pm7 0.531 0.181 0.408
Pm8 0.592 0.469 0.819
Pm9 0.696 0.042 0.935
Pm10 0.819 0.592 0.469
Pm11 0.935 0.696 0.042
Pm12 0.958 0.065 0.304
Ag1 0.161 0.759 0.360
Ag2 0.241 0.640 0.839
Ag3 0.360 0.161 0.759
Ag4 0.640 0.839 0.241
Ag5 0.759 0.360 0.161
Ag6 0.839 0.241 0.640
Ru1 0.500 0.500 0.500

## Properties
Space group   R-3 (148)
Crystal system   trigonal
Energy of formation from the pure elements   -1.7 eV per formula unit

Record 14
DFT (PBE) results for crystalline Pm8AgRu2 at its relaxed geometry.

Unit cell a=7.912 b=7.912 c=5.843 alpha=98.59 beta=98.59 gamma=113.57
Fractional coordinates of all 11 atoms:
Pm1 0.075 0.332 0.580
Pm2 0.239 0.761 0.000
Pm3 0.332 0.075 0.580
Pm4 0.385 0.385 0.199
Pm5 0.615 0.615 0.801
Pm6 0.668 0.925 0.420
Pm7 0.761 0.239 0.000
Pm8 0.925 0.668 0.420
Ag1 0.000 0.000 0.000
Ru1 0.300 0.700 0.500
Ru2 0.700 0.300 0.500

## Properties
Space group   C2/m (12)
Crystal system   monoclinic
Energy of formation from the pure elements   -1.0 eV per formula unit

Record 15
DFT (PBE) results for crystalline Pm5Ag2Ru2 at its relaxed geometry.

Unit cell a=8.684 b=8.684 c=7.839 alpha=90.00 beta=90.00 gamma=53.13
Fractional coordinates of all 18 atoms:
Pm1 0.000 0.000 0.000
Pm2 0.044 0.711 0.666
Pm3 0.211 0.544 0.166
Pm4 0.289 0.956 0.666
Pm5 0.456 0.789 0.166
Pm6 0.500 0.500 0.500
Pm7 0.544 0.211 0.834
Pm8 0.711 0.044 0.334
Pm9 0.789 0.456 0.834
Pm10 0.956 0.289 0.334
Ag1 0.211 0.211 0.000
Ag2 0.289 0.289 0.500
Ag3 0.711 0.711 0.500
Ag4 0.789 0.789 0.000
Ru1 0.138 0.862 0.362
Ru2 0.362 0.638 0.862
Ru3 0.638 0.362 0.138
Ru4 0.862 0.138 0.638

## Properties
Space group   Cmce (64)
Crystal system   orthorhombic
Energy of formation from the pure elements   -2.2 eV per formula unit

Record 16
DFT (PBE) results for crystalline Pm3AgRu2 at its relaxed geometry.

Unit cell a=3.482 b=3.482 c=11.298 alpha=90.00 beta=90.00 gamma=90.00
Fractional coordinates of all 6 atoms:
Pm1 0.000 0.000 0.000
Pm2 0.000 0.000 0.310
Pm3 0.000 0.000 0.690
Ag1 0.500 0.500 0.500
Ru1 0.500 0.500 0.162
Ru2 0.500 0.500 0.838

## Properties
Space group   P4/mmm (123)
Crystal system   tetragonal
Energy of formation from the pure elements   -1.5 eV per formula unit

Record 17
DFT (PBE) results for crystalline Pm4Ag2Ru at its relaxed geometry.

Unit cell a=8.429 b=8.429 c=8.429 alpha=143.03 beta=143.03 gamma=53.27
Fractional coordinates of all 7 atoms:
Pm1 0.000 0.500 0.500
Pm2 0.185 0.185 0.000
Pm3 0.500 0.000 0.500
Pm4 0.815 0.815 0.000
Ag1 0.384 0.384 0.000
Ag2 0.616 0.616 0.000
Ru1 0.000 0.000 0.000

## Properties
Space group   I4/mmm (139)
Crystal system   tetragonal
Energy of formation from the pure elements   -0.1 eV per formula unit

Record 18
DFT (PBE) results for crystalline PmSmAgRu at its relaxed geometry.

Unit cell a=3.495 b=3.495 c=7.693 alpha=90.00 beta=90.00 gamma=90.00
Fractional coordinates of all 4 atoms:
Pm1 0.000 0.000 0.000
Sm1 0.000 0.000 0.554
Ag1 0.500 0.500 0.279
Ru1 0.500 0.500 0.775

## Properties
Space group   P4mm (99)
Crystal system   tetragonal
Energy relative to the lowest polymorph listed for this composition   0 meV/atom
Energy of formation from the pure elements   -1.2 eV per formula unit

Record 19
DFT (PBE) results for crystalline PmSmAgRu at its relaxed geometry.

Unit cell a=5.074 b=5.074 c=5.074 alpha=60.00 beta=60.00 gamma=60.00
Fractional coordinates of all 4 atoms:
Pm1 0.000 0.000 0.000
Sm1 0.500 0.500 0.500
Ag1 0.750 0.750 0.750
Ru1 0.250 0.250 0.250

## Properties
Space group   F-43m (216)
Crystal system   cubic
Energy relative to the lowest polymorph listed for this composition   54 meV/atom
Energy of formation from the pure elements   -1.0 eV per formula unit

Record 20
DFT (PBE) results for crystalline PmAgSnRu at its relaxed geometry.

Unit cell a=4.884 b=4.884 c=4.884 alpha=60.00 beta=60.00 gamma=60.00
Fractional coordinates of all 4 atoms:
Pm1 0.000 0.000 0.000
Ag1 0.250 0.250 0.250
Sn1 0.500 0.500 0.500
Ru1 0.750 0.750 0.750

## Properties
Space group   F-43m (216)
Crystal system   cubic
Energy of formation from the pure elements   -0.7 eV per formula unit

What magnetization values result from the calculations? In sequence: 0.00, 0.00, 0.00, 0.00, 0.00, 0.00, 0.00, 0.00, 0.00, 0.00, 0.00, 0.00, 0.00, 0.00, 0.00, 0.00, 0.00, 0.00, 0.00, 0.00 μB per formula unit.
What total energy values result from the calculations? In sequence: -5.389, -6.190, -5.991, -6.058, -5.524, -5.088, -6.570, -4.606, -5.769, -5.713, -5.521, -5.962, -4.479, -5.496, -5.574, -6.199, -4.873, -5.691, -5.637, -5.389 eV/atom.